[1]
# PrGd2Zn PBE relaxed
# Theoretical density   7.65 Mg/m³
# Energy of formation from the pure elements   -0.2 eV/f.u.
# Space group   P4/mmm
# Fermi-level density of states   5.29 states/eV per cell
# Calculated total energy   -34.4 eV/cell
data_PrGd2Zn
_chemical_formula_sum 'Pr1 Gd2 Zn1'
_cell_length_a 4.884
_cell_length_b 4.811
_cell_length_c 4.811
_cell_angle_alpha 90.00
_cell_angle_beta 90.00
_cell_angle_gamma 90.00
_symmetry_space_group_name_H-M 'P 1'
_symmetry_Int_Tables_number 1
loop_
_symmetry_equiv_pos_as_xyz
'x,y,z'
loop_
_atom_site_label
_atom_site_fract_x
_atom_site_fract_y
_atom_site_fract_z
_atom_site_occupancy
Pr1 0.500 0.500 0.500 1
Zn1 0.500 0.000 0.000 1
Gd1 0.000 0.000 0.500 1
Gd2 0.000 0.500 0.000 1


[2]
# Y2GaIr2 PBE relaxed
# Theoretical density   10.15 Mg/m³
# Energy of formation from the pure elements   -3.4 eV/f.u.
# Space group   P4/mbm
# Fermi-level density of states   6.02 states/eV per cell
# Calculated total energy   -74.1 eV/cell
data_Y2GaIr2
_chemical_formula_sum 'Y4 Ga2 Ir4'
_cell_length_a 7.072
_cell_length_b 7.072
_cell_length_c 4.133
_cell_angle_alpha 90.00
_cell_angle_beta 90.00
_cell_angle_gamma 90.00
_symmetry_space_group_name_H-M 'P 1'
_symmetry_Int_Tables_number 1
loop_
_symmetry_equiv_pos_as_xyz
'x,y,z'
loop_
_atom_site_label
_atom_site_fract_x
_atom_site_fract_y
_atom_site_fract_z
_atom_site_occupancy
Y1 0.174 0.674 0.500 1
Y2 0.674 0.826 0.500 1
Y3 0.826 0.326 0.500 1
Y4 0.326 0.174 0.500 1
Ir1 0.366 0.866 0.000 1
Ir2 0.866 0.634 0.000 1
Ir3 0.634 0.134 0.000 1
Ir4 0.134 0.366 0.000 1
Ga1 0.000 0.000 0.000 1
Ga2 0.500 0.500 0.000 1


[3]
# ErMg8Pt2 PBE relaxed
# Theoretical density   4.99 Mg/m³
# Energy of formation from the pure elements   -3.5 eV/f.u.
# Space group   C2/m
# Fermi-level density of states   6.43 states/eV per cell
# Calculated total energy   -33.0 eV/cell
data_ErMg8Pt2
_chemical_formula_sum 'Er1 Mg8 Pt2'
_cell_length_a 5.183
_cell_length_b 7.319
_cell_length_c 7.319
_cell_angle_alpha 112.07
_cell_angle_beta 82.57
_cell_angle_gamma 82.57
_symmetry_space_group_name_H-M 'P 1'
_symmetry_Int_Tables_number 1
loop_
_symmetry_equiv_pos_as_xyz
'x,y,z'
loop_
_atom_site_label
_atom_site_fract_x
_atom_site_fract_y
_atom_site_fract_z
_atom_site_occupancy
Er1 0.500 0.000 0.000 1
Mg1 0.924 0.068 0.328 1
Mg2 0.924 0.328 0.068 1
Mg3 0.277 0.407 0.407 1
Mg4 0.500 0.267 0.733 1
Mg5 0.500 0.733 0.267 1
Mg6 0.723 0.593 0.593 1
Mg7 0.076 0.672 0.932 1
Mg8 0.076 0.932 0.672 1
Pt1 0.000 0.690 0.310 1
Pt2 0.000 0.310 0.690 1


[4]
# ZrZn2Ru PBE relaxed
# Theoretical density   8.14 Mg/m³
# Energy of formation from the pure elements   0.2 eV/f.u.
# Space group   R-3m
# Fermi-level density of states   2.64 states/eV per cell
# Calculated total energy   -20.1 eV/cell
data_ZrZn2Ru
_chemical_formula_sum 'Zr1 Zn2 Ru1'
_cell_length_a 9.391
_cell_length_b 9.391
_cell_length_c 9.391
_cell_angle_alpha 17.58
_cell_angle_beta 17.58
_cell_angle_gamma 17.58
_symmetry_space_group_name_H-M 'P 1'
_symmetry_Int_Tables_number 1
loop_
_symmetry_equiv_pos_as_xyz
'x,y,z'
loop_
_atom_site_label
_atom_site_fract_x
_atom_site_fract_y
_atom_site_fract_z
_atom_site_occupancy
Ru1 0.750 0.750 0.750 1
Zn1 0.008 0.008 0.008 1
Zn2 0.492 0.492 0.492 1
Zr1 0.250 0.250 0.250 1


[5]
# SrLaH2O PBE relaxed
# Theoretical density   3.21 Mg/m³
# Space group   P4/mmm
# Fermi-level density of states   2.28 states/eV per cell
# Calculated total energy   -20.5 eV/cell
data_SrLaH2O
_chemical_formula_sum 'Sr1 La1 H2 O1'
_cell_length_a 5.532
_cell_length_b 4.132
_cell_length_c 5.532
_cell_angle_alpha 90.00
_cell_angle_beta 90.00
_cell_angle_gamma 90.00
_symmetry_space_group_name_H-M 'P 1'
_symmetry_Int_Tables_number 1
loop_
_symmetry_equiv_pos_as_xyz
'x,y,z'
loop_
_atom_site_label
_atom_site_fract_x
_atom_site_fract_y
_atom_site_fract_z
_atom_site_occupancy
Sr1 0.500 0.500 0.500 1
H1 0.000 0.000 0.500 1
H2 0.500 0.000 0.000 1
O1 0.000 0.000 0.000 1
La1 0.000 0.500 0.000 1


[6]
# Si2Ge2Pb PBE relaxed
# Theoretical density   6.35 Mg/m³
# Space group   P4/mbm
# Fermi-level density of states   4.10 states/eV per cell
# Calculated total energy   -43.8 eV/cell
# E_form (uncorrected)   0.38 eV per atom
data_Si2Ge2Pb
_chemical_formula_sum 'Si4 Ge4 Pb2'
_cell_length_a 7.799
_cell_length_b 7.799
_cell_length_c 3.515
_cell_angle_alpha 90.00
_cell_angle_beta 90.00
_cell_angle_gamma 90.00
_symmetry_space_group_name_H-M 'P 1'
_symmetry_Int_Tables_number 1
loop_
_symmetry_equiv_pos_as_xyz
'x,y,z'
loop_
_atom_site_label
_atom_site_fract_x
_atom_site_fract_y
_atom_site_fract_z
_atom_site_occupancy
Pb1 0.000 0.000 0.000 1
Pb2 0.500 0.500 0.000 1
Ge1 0.137 0.637 0.500 1
Ge2 0.637 0.863 0.500 1
Ge3 0.863 0.363 0.500 1
Ge4 0.363 0.137 0.500 1
Si1 0.379 0.879 0.000 1
Si2 0.879 0.621 0.000 1
Si3 0.621 0.121 0.000 1
Si4 0.121 0.379 0.000 1


[7]
# Pr7YMg4 PBE relaxed
# Theoretical density   4.98 Mg/m³
# Energy of formation from the pure elements   1.4 eV/f.u.
# Space group   C2/m
# Fermi-level density of states   14.08 states/eV per cell
# Calculated total energy   -44.9 eV/cell
data_Pr7YMg4
_chemical_formula_sum 'Pr7 Y1 Mg4'
_cell_length_a 5.907
_cell_length_b 9.376
_cell_length_c 8.330
_cell_angle_alpha 67.89
_cell_angle_beta 69.23
_cell_angle_gamma 71.64
_symmetry_space_group_name_H-M 'P 1'
_symmetry_Int_Tables_number 1
loop_
_symmetry_equiv_pos_as_xyz
'x,y,z'
loop_
_atom_site_label
_atom_site_fract_x
_atom_site_fract_y
_atom_site_fract_z
_atom_site_occupancy
Pr1 0.803 0.878 0.515 1
Pr2 0.197 0.122 0.485 1
Pr3 0.083 0.573 0.261 1
Pr4 0.917 0.427 0.739 1
Pr5 0.254 0.711 0.780 1
Pr6 0.500 0.000 0.000 1
Pr7 0.746 0.289 0.220 1
Y1 0.000 0.000 0.000 1
Mg1 0.537 0.306 0.619 1
Mg2 0.463 0.694 0.381 1
Mg3 0.674 0.656 0.996 1
Mg4 0.326 0.344 0.004 1


[8]
# PmCuRh2 PBE relaxed
# Theoretical density   10.04 Mg/m³
# Energy of formation from the pure elements   -1.1 eV/f.u.
# Space group   Fm-3m
# Fermi-level density of states   1.34 states/eV per cell
# Calculated total energy   -24.7 eV/cell
data_PmCuRh2
_chemical_formula_sum 'Pm1 Cu1 Rh2'
_cell_length_a 4.594
_cell_length_b 4.594
_cell_length_c 4.594
_cell_angle_alpha 60.00
_cell_angle_beta 60.00
_cell_angle_gamma 60.00
_symmetry_space_group_name_H-M 'P 1'
_symmetry_Int_Tables_number 1
loop_
_symmetry_equiv_pos_as_xyz
'x,y,z'
loop_
_atom_site_label
_atom_site_fract_x
_atom_site_fract_y
_atom_site_fract_z
_atom_site_occupancy
Rh1 0.250 0.250 0.250 1
Rh2 0.750 0.750 0.750 1
Cu1 0.500 0.500 0.500 1
Pm1 0.000 0.000 0.000 1


[9]
# KLaAs2 PBE relaxed
# Theoretical density   3.99 Mg/m³
# Energy of formation from the pure elements   -2.5 eV/f.u.
# Space group   R-3m
# Fermi-level density of states   4.54 states/eV per cell
# Calculated total energy   -17.8 eV/cell
data_KLaAs2
_chemical_formula_sum 'K1 La1 As2'
_cell_length_a 7.843
_cell_length_b 7.843
_cell_length_c 7.843
_cell_angle_alpha 34.27
_cell_angle_beta 34.27
_cell_angle_gamma 34.27
_symmetry_space_group_name_H-M 'P 1'
_symmetry_Int_Tables_number 1
loop_
_symmetry_equiv_pos_as_xyz
'x,y,z'
loop_
_atom_site_label
_atom_site_fract_x
_atom_site_fract_y
_atom_site_fract_z
_atom_site_occupancy
As1 0.019 0.019 0.019 1
As2 0.481 0.481 0.481 1
K1 0.250 0.250 0.250 1
La1 0.750 0.750 0.750 1


[10]
# PrHoC4 PBE relaxed
# Theoretical density   6.53 Mg/m³
# Energy of formation from the pure elements   -0.8 eV/f.u.
# Space group   C2/m
# Fermi-level density of states   1.46 states/eV per cell
# Calculated total energy   -47.1 eV/cell
data_PrHoC4
_chemical_formula_sum 'Pr1 Ho1 C4'
_cell_length_a 3.748
_cell_length_b 4.220
_cell_length_c 6.632
_cell_angle_alpha 80.00
_cell_angle_beta 73.59
_cell_angle_gamma 63.64
_symmetry_space_group_name_H-M 'P 1'
_symmetry_Int_Tables_number 1
loop_
_symmetry_equiv_pos_as_xyz
'x,y,z'
loop_
_atom_site_label
_atom_site_fract_x
_atom_site_fract_y
_atom_site_fract_z
_atom_site_occupancy
Pr1 0.000 0.000 0.000 1
Ho1 0.500 0.500 0.500 1
C1 0.809 0.602 0.781 1
C2 0.299 0.086 0.316 1
C3 0.191 0.398 0.219 1
C4 0.701 0.914 0.684 1


[11]
# Li8NdGa4 PBE relaxed
# Theoretical density   3.45 Mg/m³
# Energy of formation from the pure elements   -3.4 eV/f.u.
# Space group   I4/mmm
# Fermi-level density of states   3.80 states/eV per cell
# Calculated total energy   -35.6 eV/cell
data_Li8NdGa4
_chemical_formula_sum 'Li8 Nd1 Ga4'
_cell_length_a 5.455
_cell_length_b 7.048
_cell_length_c 7.048
_cell_angle_alpha 81.39
_cell_angle_beta 67.23
_cell_angle_gamma 67.23
_symmetry_space_group_name_H-M 'P 1'
_symmetry_Int_Tables_number 1
loop_
_symmetry_equiv_pos_as_xyz
'x,y,z'
loop_
_atom_site_label
_atom_site_fract_x
_atom_site_fract_y
_atom_site_fract_z
_atom_site_occupancy
Li1 0.000 0.346 0.654 1
Li2 0.000 0.654 0.346 1
Li3 0.346 0.654 0.654 1
Li4 0.654 0.346 0.346 1
Li5 0.500 0.777 0.223 1
Li6 0.500 0.223 0.777 1
Li7 0.277 0.223 0.223 1
Li8 0.723 0.777 0.777 1
Nd1 0.000 0.000 0.000 1
Ga1 0.000 0.000 0.500 1
Ga2 0.500 0.000 0.500 1
Ga3 0.000 0.500 0.000 1
Ga4 0.500 0.500 0.000 1


[12]
# KAuBr4 PBE relaxed
# Theoretical density   3.99 Mg/m³
# Space group   C2/m
# Calculated total energy   -30.4 eV/cell
# E_form (uncorrected)   -0.69 eV per atom
data_KAuBr4
_chemical_formula_sum 'K2 Au2 Br8'
_cell_length_a 5.581
_cell_length_b 5.581
_cell_length_c 15.064
_cell_angle_alpha 83.75
_cell_angle_beta 83.75
_cell_angle_gamma 85.77
_symmetry_space_group_name_H-M 'P 1'
_symmetry_Int_Tables_number 1
loop_
_symmetry_equiv_pos_as_xyz
'x,y,z'
loop_
_atom_site_label
_atom_site_fract_x
_atom_site_fract_y
_atom_site_fract_z
_atom_site_occupancy
K1 0.500 0.000 0.500 1
K2 0.000 0.500 0.000 1
Au1 0.250 0.750 0.250 1
Au2 0.750 0.250 0.750 1
Br1 0.041 0.541 0.779 1
Br2 0.149 0.649 0.414 1
Br3 0.851 0.351 0.586 1
Br4 0.541 0.041 0.279 1
Br5 0.459 0.959 0.721 1
Br6 0.351 0.851 0.086 1
Br7 0.649 0.149 0.914 1
Br8 0.959 0.459 0.221 1